Density functional theory data (SCAN) for SrCa2Hg at its PBEsol-relaxed geometry.

Calculated values
DFT formation energy (meV/atom): -303
Volume (Å³/cell): 283
Total DFT energy (no corrections) (eV/cell): -221.96

Cell: 3.974 5.847 12.164 Å, 90.00 90.00 90.00°
Space group Imm2 (No. 44)
Asymmetric unit:
Sr 0.000 0.000 0.000 (multiplicity 2)
Ca 0.000 0.000 0.599 (multiplicity 2)
Ca 0.000 0.500 0.798 (multiplicity 2)
Hg 0.000 0.500 0.290 (multiplicity 2)

***

Density functional theory data (SCAN) for SrCa2Hg at its PBEsol-relaxed geometry.

Calculated values
DFT formation energy (meV/atom): -363
Volume (Å³/cell): 141
Total DFT energy (no corrections) (eV/cell): -111.22

Cell: 3.840 3.840 9.574 Å, 90.00 90.00 90.00°
Space group P4/mmm (No. 123)
Asymmetric unit:
Sr 0.000 0.000 0.000 (multiplicity 1)
Ca 0.500 0.500 0.318 (multiplicity 2)
Hg 0.000 0.000 0.500 (multiplicity 1)

***

Density functional theory data (SCAN) for Sr2CaHg at its PBEsol-relaxed geometry.

Calculated values
DFT formation energy (meV/atom): -338
Volume (Å³/cell): 302
Total DFT energy (no corrections) (eV/cell): -247.47

Cell: 3.987 6.020 12.581 Å, 90.00 90.00 90.00°
Space group Imm2 (No. 44)
Asymmetric unit:
Sr 0.000 0.000 0.000 (multiplicity 2)
Sr 0.000 0.500 0.198 (multiplicity 2)
Ca 0.000 0.500 0.804 (multiplicity 2)
Hg 0.000 0.000 0.492 (multiplicity 2)

***

Density functional theory data (SCAN) for Sr2CaHg at its PBEsol-relaxed geometry.

Calculated values
DFT formation energy (meV/atom): -364
Volume (Å³/cell): 151
Total DFT energy (no corrections) (eV/cell): -123.84

Cell: 3.953 3.953 9.678 Å, 90.00 90.00 90.00°
Space group P4/mmm (No. 123)
Asymmetric unit:
Sr 0.000 0.000 0.194 (multiplicity 2)
Ca 0.500 0.500 0.500 (multiplicity 1)
Hg 0.500 0.500 0.000 (multiplicity 1)